Here is a geometry-optimized BaMn2Se structure from Alexandria. Energies are from PBE.

Properties
Its symmetry is Fmmm, No. 69. The volume comes out at 29.5 A^3/atom. The final energy comes out at -5.6828 eV/atom. Its crystal system is orthorhombic. The value obtained for the formation energy without anion corrections is 0.254 eV/atom. For the size of the total moment, the calculation gives 2.2792 μB/atom.

Unit cell a=6.187 b=6.213 c=12.277 alpha=90.00 beta=90.00 gamma=90.00
Positions (direct):
Ba  0.000  0.000  0.000
Ba  0.000  0.500  0.500
Ba  0.500  0.000  0.500
Ba  0.500  0.500  0.000
Mn  0.000  0.250  0.250
Mn  0.000  0.250  0.750
Mn  0.000  0.750  0.250
Mn  0.000  0.750  0.750
Mn  0.500  0.250  0.250
Mn  0.500  0.250  0.750
Mn  0.500  0.750  0.250
Mn  0.500  0.750  0.750
Se  0.000  0.000  0.500
Se  0.000  0.500  0.000
Se  0.500  0.000  0.000
Se  0.500  0.500  0.500